Record 1
# PmGaPdRu | the Alexandria database | PBE-GGA | optimized geometry
# ΔH_f (0 K), meV/atom: -419
data_PmGaPdRu
_symmetry_space_group_name_H-M 'F -4 3 m'
_symmetry_Int_Tables_number 216
_symmetry_space_group_name_Hall 'F -4 2 3'
_cell_length_a 6.620
_cell_length_b 6.620
_cell_length_c 6.620
_cell_angle_alpha 90.00
_cell_angle_beta 90.00
_cell_angle_gamma 90.00
loop_
_atom_site_label
_atom_site_type_symbol
_atom_site_fract_x
_atom_site_fract_y
_atom_site_fract_z
Pm1 Pm 0.000 0.000 0.000
Ga1 Ga 0.000 0.000 0.500
Pd1 Pd 0.250 0.250 0.250
Ru1 Ru 0.250 0.250 0.750

---

Record 2
# AcPuZnGa | the Alexandria database | PBE-GGA | optimized geometry
# ΔH_f (0 K), meV/atom: -206
data_AcPuZnGa
_symmetry_space_group_name_H-M 'F -4 3 m'
_symmetry_Int_Tables_number 216
_symmetry_space_group_name_Hall 'F -4 2 3'
_cell_length_a 7.528
_cell_length_b 7.528
_cell_length_c 7.528
_cell_angle_alpha 90.00
_cell_angle_beta 90.00
_cell_angle_gamma 90.00
loop_
_atom_site_label
_atom_site_type_symbol
_atom_site_fract_x
_atom_site_fract_y
_atom_site_fract_z
Ac1 Ac 0.000 0.000 0.000
Pu1 Pu 0.000 0.000 0.500
Zn1 Zn 0.250 0.250 0.750
Ga1 Ga 0.250 0.250 0.250

---

Record 3
# UAl5 | the Alexandria database | PBE-GGA | optimized geometry
# ΔH_f (0 K), meV/atom: 17
# Energy above the lowest structure with this stoichiometry, eV/atom: 0.059
data_UAl5
_symmetry_space_group_name_H-M 'P -6 2 m'
_symmetry_Int_Tables_number 189
_symmetry_space_group_name_Hall 'P -6 -2'
_cell_length_a 5.4418
_cell_length_b 5.4418
_cell_length_c 4.3471
_cell_angle_alpha 90.00
_cell_angle_beta 90.00
_cell_angle_gamma 120.00
loop_
_atom_site_label
_atom_site_type_symbol
_atom_site_fract_x
_atom_site_fract_y
_atom_site_fract_z
U1 U 0.0000 0.0000 0.0000
Al1 Al 0.0000 0.5014 0.5000
Al2 Al 0.3333 0.6667 0.0000

---

Record 4
# SrLi12Bi4 | the Alexandria database | PBE-GGA | optimized geometry
# ΔH_f (0 K), meV/atom: -218
data_SrLi12Bi4
_symmetry_space_group_name_H-M 'I m -3'
_symmetry_Int_Tables_number 204
_symmetry_space_group_name_Hall '-I 2 2 3'
_cell_length_a 10.053
_cell_length_b 10.053
_cell_length_c 10.053
_cell_angle_alpha 90.00
_cell_angle_beta 90.00
_cell_angle_gamma 90.00
loop_
_atom_site_label
_atom_site_type_symbol
_atom_site_fract_x
_atom_site_fract_y
_atom_site_fract_z
Sr1 Sr 0.000 0.000 0.000
Li1 Li 0.000 0.196 0.334
Bi1 Bi 0.250 0.250 0.250

---

Record 5
# BaYW2 | the Alexandria database | PBE-GGA | optimized geometry
# ΔH_f (0 K), meV/atom: 558
# Energy above the lowest structure with this stoichiometry, eV/atom: 0.000
data_BaYW2
_symmetry_space_group_name_H-M 'P 1 m 1'
_symmetry_Int_Tables_number 6
_cell_length_a 3.369
_cell_length_b 3.370
_cell_length_c 9.368
_cell_angle_alpha 90.00
_cell_angle_beta 90.43
_cell_angle_gamma 90.00
loop_
_symmetry_equiv_pos_as_xyz
'x,y,z'
'x,-y,z'
loop_
_atom_site_label
_atom_site_type_symbol
_atom_site_fract_x
_atom_site_fract_y
_atom_site_fract_z
Ba1 Ba 0.000 0.000 0.000
Y1 Y 0.514 0.500 0.618
W1 W 0.010 0.000 0.407
W2 W 0.506 0.500 0.279

---

Record 6
# Y3ScNb | the Alexandria database | PBE-GGA | optimized geometry
# ΔH_f (0 K), meV/atom: 591
# Energy above the lowest structure with this stoichiometry, eV/atom: 0.000
data_Y3ScNb
_symmetry_space_group_name_H-M 'P m -3 m'
_symmetry_Int_Tables_number 221
_symmetry_space_group_name_Hall '-P 4 2 3'
_cell_length_a 5.431
_cell_length_b 5.431
_cell_length_c 5.431
_cell_angle_alpha 90.00
_cell_angle_beta 90.00
_cell_angle_gamma 90.00
loop_
_atom_site_label
_atom_site_type_symbol
_atom_site_fract_x
_atom_site_fract_y
_atom_site_fract_z
Y1 Y 0.000 0.000 0.500
Sc1 Sc 0.500 0.500 0.500
Nb1 Nb 0.000 0.000 0.000

---

Record 7
# AcDyZnCd | the Alexandria database | PBE-GGA | optimized geometry
# ΔH_f (0 K), meV/atom: -281
# Energy above the lowest structure with this stoichiometry, eV/atom: 0.000
data_AcDyZnCd
_symmetry_space_group_name_H-M 'P 4 m m'
_symmetry_Int_Tables_number 99
_cell_length_a 3.765
_cell_length_b 3.765
_cell_length_c 7.864
_cell_angle_alpha 90.00
_cell_angle_beta 90.00
_cell_angle_gamma 90.00
loop_
_symmetry_equiv_pos_as_xyz
'x,y,z'
'-y,x,z'
'-x,-y,z'
'y,-x,z'
'-x,y,z'
'y,x,z'
'x,-y,z'
'-y,-x,z'
loop_
_atom_site_label
_atom_site_type_symbol
_atom_site_fract_x
_atom_site_fract_y
_atom_site_fract_z
Ac1 Ac 0.000 0.000 0.000
Dy1 Dy 0.000 0.000 0.466
Zn1 Zn 0.500 0.500 0.271
Cd1 Cd 0.500 0.500 0.699

---

Record 8
# Tl3GeAu6 | the Alexandria database | PBE-GGA | optimized geometry
# ΔH_f (0 K), meV/atom: 51
data_Tl3GeAu6
_symmetry_space_group_name_H-M 'R -3 m'
_symmetry_Int_Tables_number 166
_symmetry_space_group_name_Hall '-R 3 2"'
_cell_length_a 9.8932
_cell_length_b 9.8932
_cell_length_c 15.9708
_cell_angle_alpha 90.00
_cell_angle_beta 90.00
_cell_angle_gamma 120.00
loop_
_atom_site_label
_atom_site_type_symbol
_atom_site_fract_x
_atom_site_fract_y
_atom_site_fract_z
Tl1 Tl 0.0850 0.5425 0.4032
Ge1 Ge 0.0000 0.0000 0.0000
Ge2 Ge 0.0000 0.0000 0.5000
Au1 Au 0.0802 0.5401 0.0783
Au2 Au 0.0863 0.5431 0.7673

---

Record 9
# Tc3P | the Alexandria database | PBE-GGA | optimized geometry
# ΔH_f (0 K), meV/atom: 37
# Energy above the lowest structure with this stoichiometry, eV/atom: 0.376
data_Tc3P
_symmetry_space_group_name_H-M 'P 4/m m m'
_symmetry_Int_Tables_number 123
_symmetry_space_group_name_Hall '-P 4 2'
_cell_length_a 4.320
_cell_length_b 4.320
_cell_length_c 2.981
_cell_angle_alpha 90.00
_cell_angle_beta 90.00
_cell_angle_gamma 90.00
loop_
_atom_site_label
_atom_site_type_symbol
_atom_site_fract_x
_atom_site_fract_y
_atom_site_fract_z
Tc1 Tc 0.000 0.000 0.000
Tc2 Tc 0.000 0.500 0.500
P1 P 0.500 0.500 0.000

---

Record 10
# TbTm2CdPd4 | the Alexandria database | PBE-GGA | optimized geometry
# ΔH_f (0 K), meV/atom: -826
data_TbTm2CdPd4
_symmetry_space_group_name_H-M 'R -3 m'
_symmetry_Int_Tables_number 166
_symmetry_space_group_name_Hall '-R 3 2"'
_cell_length_a 4.8531
_cell_length_b 4.8531
_cell_length_c 23.7451
_cell_angle_alpha 90.00
_cell_angle_beta 90.00
_cell_angle_gamma 120.00
loop_
_atom_site_label
_atom_site_type_symbol
_atom_site_fract_x
_atom_site_fract_y
_atom_site_fract_z
Tb1 Tb 0.0000 0.0000 0.0000
Tm1 Tm 0.0000 0.0000 0.2440
Cd1 Cd 0.0000 0.0000 0.5000
Pd1 Pd 0.0000 0.0000 0.1218
Pd2 Pd 0.0000 0.0000 0.3736

---

Record 11
# Ce3RuPt2 | the Alexandria database | PBE-GGA | optimized geometry
# ΔH_f (0 K), meV/atom: -806
data_Ce3RuPt2
_symmetry_space_group_name_H-M 'C 1 2/c 1'
_symmetry_Int_Tables_number 15
_cell_length_a 13.808
_cell_length_b 5.623
_cell_length_c 7.184
_cell_angle_alpha 90.00
_cell_angle_beta 102.30
_cell_angle_gamma 90.00
loop_
_symmetry_equiv_pos_as_xyz
'x,y,z'
'-x,-y,-z'
'-x,y,-z+1/2'
'x,-y,z+1/2'
'x+1/2,y+1/2,z'
'-x+1/2,-y+1/2,-z'
'-x+1/2,y+1/2,-z+1/2'
'x+1/2,-y+1/2,z+1/2'
loop_
_atom_site_label
_atom_site_type_symbol
_atom_site_fract_x
_atom_site_fract_y
_atom_site_fract_z
Ce1 Ce 0.000 0.136 0.250
Ce2 Ce 0.168 0.393 0.643
Ru1 Ru 0.000 0.382 0.750
Pt1 Pt 0.162 0.103 0.012

---

Record 12
# AcPm2Pt9 | the Alexandria database | PBE-GGA | optimized geometry
# ΔH_f (0 K), meV/atom: -951
data_AcPm2Pt9
_symmetry_space_group_name_H-M 'R -3 m'
_symmetry_Int_Tables_number 166
_symmetry_space_group_name_Hall '-R 3 2"'
_cell_length_a 5.5150
_cell_length_b 5.5150
_cell_length_c 26.7415
_cell_angle_alpha 90.00
_cell_angle_beta 90.00
_cell_angle_gamma 120.00
loop_
_atom_site_label
_atom_site_type_symbol
_atom_site_fract_x
_atom_site_fract_y
_atom_site_fract_z
Ac1 Ac 0.0000 0.0000 0.0000
Pm1 Pm 0.0000 0.0000 0.1405
Pt1 Pt 0.0000 0.0000 0.3326
Pt2 Pt 0.0000 0.0000 0.5000
Pt3 Pt 0.0040 0.5020 0.9145

---

Record 13
# GdPuMo4 | the Alexandria database | PBE-GGA | optimized geometry
# ΔH_f (0 K), meV/atom: 249
data_GdPuMo4
_symmetry_space_group_name_H-M 'F -4 3 m'
_symmetry_Int_Tables_number 216
_symmetry_space_group_name_Hall 'F -4 2 3'
_cell_length_a 7.773
_cell_length_b 7.773
_cell_length_c 7.773
_cell_angle_alpha 90.00
_cell_angle_beta 90.00
_cell_angle_gamma 90.00
loop_
_atom_site_label
_atom_site_type_symbol
_atom_site_fract_x
_atom_site_fract_y
_atom_site_fract_z
Gd1 Gd 0.000 0.000 0.000
Pu1 Pu 0.250 0.250 0.750
Mo1 Mo 0.125 0.125 0.375

---

Record 14
# YZrZn2 | the Alexandria database | PBE-GGA | optimized geometry
# ΔH_f (0 K), meV/atom: -212
data_YZrZn2
_symmetry_space_group_name_H-M 'A m m 2'
_symmetry_Int_Tables_number 38
_cell_length_a 4.342
_cell_length_b 3.471
_cell_length_c 11.179
_cell_angle_alpha 90.00
_cell_angle_beta 90.00
_cell_angle_gamma 90.00
loop_
_symmetry_equiv_pos_as_xyz
'x,y,z'
'-x,-y,z'
'-x,y,z'
'x,-y,z'
'x,y+1/2,z+1/2'
'-x,-y+1/2,z+1/2'
'-x,y+1/2,z+1/2'
'x,-y+1/2,z+1/2'
loop_
_atom_site_label
_atom_site_type_symbol
_atom_site_fract_x
_atom_site_fract_y
_atom_site_fract_z
Y1 Y 0.000 0.000 0.000
Zr1 Zr 0.500 0.000 0.313
Zn1 Zn 0.000 0.000 0.733
Zn2 Zn 0.500 0.000 0.596

---

Record 15
# CoBiIN2 | the Alexandria database | PBE-GGA | optimized geometry
# Energy above the lowest structure with this stoichiometry, eV/atom: 0.411
# Uncorrected formation energy, meV per atom: 1876
data_CoBiIN2
_symmetry_space_group_name_H-M 'P 4/m m m'
_symmetry_Int_Tables_number 123
_symmetry_space_group_name_Hall '-P 4 2'
_cell_length_a 4.229
_cell_length_b 4.229
_cell_length_c 7.356
_cell_angle_alpha 90.00
_cell_angle_beta 90.00
_cell_angle_gamma 90.00
loop_
_atom_site_label
_atom_site_type_symbol
_atom_site_fract_x
_atom_site_fract_y
_atom_site_fract_z
Co1 Co 0.000 0.000 0.000
Bi1 Bi 0.500 0.500 0.500
I1 I 0.500 0.500 0.000
N1 N 0.000 0.500 0.500

---

Record 16
# SmInB2Rh5 | the Alexandria database | PBE-GGA | optimized geometry
# ΔH_f (0 K), meV/atom: -474
data_SmInB2Rh5
_symmetry_space_group_name_H-M 'P 4/m m m'
_symmetry_Int_Tables_number 123
_symmetry_space_group_name_Hall '-P 4 2'
_cell_length_a 4.200
_cell_length_b 4.200
_cell_length_c 7.837
_cell_angle_alpha 90.00
_cell_angle_beta 90.00
_cell_angle_gamma 90.00
loop_
_atom_site_label
_atom_site_type_symbol
_atom_site_fract_x
_atom_site_fract_y
_atom_site_fract_z
Sm1 Sm 0.000 0.000 0.000
In1 In 0.000 0.000 0.500
B1 B 0.500 0.500 0.277
Rh1 Rh 0.000 0.500 0.273
Rh2 Rh 0.500 0.500 0.000

---

Record 17
# KYPb | the Alexandria database | PBE-GGA | optimized geometry
# ΔH_f (0 K), meV/atom: -67
# Energy above the lowest structure with this stoichiometry, eV/atom: 0.222
data_KYPb
_symmetry_space_group_name_H-M 'I m m 2'
_symmetry_Int_Tables_number 44
_cell_length_a 3.785
_cell_length_b 4.656
_cell_length_c 13.657
_cell_angle_alpha 90.00
_cell_angle_beta 90.00
_cell_angle_gamma 90.00
loop_
_symmetry_equiv_pos_as_xyz
'x,y,z'
'-x,-y,z'
'-x,y,z'
'x,-y,z'
'x+1/2,y+1/2,z+1/2'
'-x+1/2,-y+1/2,z+1/2'
'-x+1/2,y+1/2,z+1/2'
'x+1/2,-y+1/2,z+1/2'
loop_
_atom_site_label
_atom_site_type_symbol
_atom_site_fract_x
_atom_site_fract_y
_atom_site_fract_z
K1 K 0.000 0.000 0.000
Y1 Y 0.000 0.000 0.271
Pb1 Pb 0.000 0.000 0.701

---

Record 18
# Zn2RhAuBr | the Alexandria database | PBE-GGA | optimized geometry
# Uncorrected formation energy, meV per atom: 394
data_Zn2RhAuBr
_symmetry_space_group_name_H-M 'P 4/m m m'
_symmetry_Int_Tables_number 123
_symmetry_space_group_name_Hall '-P 4 2'
_cell_length_a 4.844
_cell_length_b 4.844
_cell_length_c 5.107
_cell_angle_alpha 90.00
_cell_angle_beta 90.00
_cell_angle_gamma 90.00
loop_
_atom_site_label
_atom_site_type_symbol
_atom_site_fract_x
_atom_site_fract_y
_atom_site_fract_z
Zn1 Zn 0.000 0.500 0.000
Rh1 Rh 0.000 0.000 0.000
Au1 Au 0.000 0.000 0.500
Br1 Br 0.500 0.500 0.500

---

Record 19
# CsMnTe2 | the Alexandria database | PBE-GGA | optimized geometry
# Uncorrected formation energy, meV per atom: -487
data_CsMnTe2
_symmetry_space_group_name_H-M 'P n a 21'
_symmetry_Int_Tables_number 33
_cell_length_a 7.453
_cell_length_b 11.838
_cell_length_c 7.710
_cell_angle_alpha 90.00
_cell_angle_beta 90.00
_cell_angle_gamma 90.00
loop_
_symmetry_equiv_pos_as_xyz
'x,y,z'
'-x,-y,z+1/2'
'-x+1/2,y+1/2,z+1/2'
'x+1/2,-y+1/2,z'
loop_
_atom_site_label
_atom_site_type_symbol
_atom_site_fract_x
_atom_site_fract_y
_atom_site_fract_z
Cs1 Cs 0.084 0.120 0.000
Mn1 Mn 0.049 0.622 0.966
Te1 Te 0.075 0.437 0.160
Te2 Te 0.113 0.182 0.509

---

Record 20
# C3Se | the Alexandria database | PBE-GGA | optimized geometry
# Energy above the lowest structure with this stoichiometry, eV/atom: 0.047
# Uncorrected formation energy, meV per atom: 1370
data_C3Se
_symmetry_space_group_name_H-M 'C m c m'
_symmetry_Int_Tables_number 63
_symmetry_space_group_name_Hall '-C 2c 2'
_cell_length_a 5.775
_cell_length_b 6.436
_cell_length_c 8.746
_cell_angle_alpha 90.00
_cell_angle_beta 90.00
_cell_angle_gamma 90.00
loop_
_atom_site_label
_atom_site_type_symbol
_atom_site_fract_x
_atom_site_fract_y
_atom_site_fract_z
C1 C 0.000 0.067 0.250
C2 C 0.123 0.118 0.750
Se1 Se 0.000 0.356 0.250